## La4DyCd2 (GGA-PBE)

Data for a relaxed structure of La4DyCd2.

Computed properties:
M_tot ... 0.0 μB per cell
Formation enthalpy at 0 K ... 72 meV/atom

Cell: 5.6947 5.6947 26.8229 Å, 90.00 90.00 120.00°
Space group R-3m (No. 166, hexagonal axes)
One atom of each set of equivalent atoms:
La: 0.0000 0.0000 0.1293 (multiplicity 6)
La: 0.0000 0.0000 0.2659 (multiplicity 6)
Dy: 0.0000 0.0000 0.5000 (multiplicity 3)
Cd: 0.0000 0.0000 0.3866 (multiplicity 6)